Record 1
CsLiCoF4 | GGA+U | optimized geometry

Cell lengths 5.4470, 5.8447, 7.9291 Å; angles 90.00, 101.91, 90.00 degrees
With the nearest neighbours (Å) after each atom.
Space group P2_1/m (No. 11)
Unique sites:
Cs 0.2191 0.2500 0.1206  6 F 2.97-3.15
Li 0.1359 0.7500 0.5184  3 F 1.87-1.97
Co 0.3660 0.2500 0.6747  4 F 1.92-1.96
F 0.1083 0.0140 0.6683  1 Co 1.96, 1 Li 1.97
F 0.3816 0.7500 0.1165  1 Co 1.92
F 0.4802 0.7500 0.5221  1 Li 1.87, 1 Co 1.92

V ... 247.0 Å³ per cell
VASP energy ... -4.675 eV/atom

***

Record 2
CsMgCo2F8 | GGA+U | optimized geometry

Cell lengths 4.7034, 4.7346, 8.6626 Å; angles 89.48, 87.80, 85.48 degrees
With the nearest neighbours (Å) after each atom.
Space group P-1 (No. 2)
Unique sites:
Cs 0.0000 0.0000 0.0000  6 F 2.95-3.19
Mg 0.0000 0.0000 0.5000  6 F 1.98-2.08
Co 0.4932 0.5022 0.6670  4 F 1.80-1.93
F 0.2125 0.8028 0.6683  1 Co 1.86, 1 Mg 1.98
F 0.2160 0.7885 0.3296  1 Co 1.86, 1 Mg 1.99
F 0.2944 0.3061 0.4913  2 Co 1.93-2.08, 1 Mg 2.08
F 0.3770 0.4078 0.8596  1 Co 1.80

V ... 192.2 Å³ per cell
VASP energy ... -4.669 eV/atom

***

Record 3
CsMnCoF6 | GGA+U | optimized geometry

Cell lengths 7.3203, 7.7665, 10.4509 Å; angles 90.00, 90.00, 90.00 degrees
With the nearest neighbours (Å) after each atom.
Space group Imma (No. 74)
Unique sites:
Cs 0.0000 0.2500 0.1217  6 F 3.11-3.31
Mn 0.0000 0.0000 0.5000  6 F 1.91-2.11
Co 0.2500 0.2500 0.7500  6 F 1.99-2.07
F 0.0000 0.2500 0.4212  2 Mn 2.11
F 0.0000 0.2500 0.8243  2 Co 1.99
F 0.1871 0.0577 0.6200  1 Mn 1.91, 1 Co 2.07

V ... 594.2 Å³ per cell
VASP energy ... -5.230 eV/atom

***

Record 4
CsCo2MoF8 | GGA+U | optimized geometry

Cell lengths 5.5734, 5.5734, 23.7887 Å; angles 90.00, 90.00, 120.00 degrees
With the nearest neighbours (Å) after each atom.
Space group R-3 (No. 148, hexagonal axes)
Unique sites:
Cs 0.0000 0.0000 0.0000  12 F 3.23-3.41
Co 0.0000 0.0000 0.2434  4 F 1.85-1.96
Mo 0.0000 0.0000 0.5000  6 F 2.11
F 0.0000 0.0000 0.3213  1 Co 1.85
F 0.0125 0.3608 0.1166  1 Co 1.96, 1 Mo 2.11

V ... 639.9 Å³ per cell
VASP energy ... -5.089 eV/atom

***

Record 5
CsCoNF2 | GGA+U | optimized geometry

Cell lengths 4.6187, 4.6187, 3.5961 Å; angles 90.00, 90.00, 90.00 degrees
With the nearest neighbours (Å) after each atom.
Space group P4/mmm (No. 123)
Unique sites:
Cs 0.0000 0.0000 0.0000  8 F 2.93, 4 N 3.27
Co 0.5000 0.5000 0.5000  2 N 1.80
N 0.5000 0.5000 0.0000  2 Co 1.80
F 0.0000 0.5000 0.5000  2 Co 2.31

Energy above the most stable polymorph in this dataset ... 0 meV per atom
V ... 76.7 Å³ per cell

***

Record 6
CsCoN2F | GGA+U | optimized geometry

Cell lengths 4.4286, 4.4286, 4.8576 Å; angles 90.00, 90.00, 90.00 degrees
With the nearest neighbours (Å) after each atom.
Space group P4/mmm (No. 123)
Unique sites:
Cs 0.0000 0.0000 0.0000  4 N 2.21, 2 F 2.43
Co 0.5000 0.5000 0.5000  4 F 3.13, 8 N 3.29
N 0.0000 0.5000 0.0000  2 Cs 2.21
F 0.0000 0.0000 0.5000  2 Cs 2.43

Energy above the most stable polymorph in this dataset ... 1759 meV per atom
V ... 95.3 Å³ per cell